Material: FeNiCl3
Method: DFT, PBE
State: relaxed

Energy   -3.8143 eV per atom
Space-group type   Pm-3m, No. 221
V   110 Å³/cell
E_form (uncorrected)   0.71 eV per formula unit

Structure (POSCAR):
```
FeNiCl3
1.0
4.792 0.000 0.000
0.000 4.792 0.000
0.000 0.000 4.792
Ni Fe Cl
1 1 3
Direct
0.500 0.500 0.500
0.000 0.000 0.000
0.000 0.500 0.000
0.000 0.000 0.500
0.500 0.000 0.000
```



Material: Fe3NiCl
Method: DFT, PBE
State: relaxed

Energy   -5.7508 eV per atom
Energy above the most stable polymorph in this dataset   0 meV per atom
Space-group type   Pm-3m, No. 221
V   68 Å³/cell
E_form (uncorrected)   4.26 eV per formula unit

Structure (POSCAR):
```
Fe3NiCl
1.0
-1.908 -3.619 0.001
0.150 -0.078 4.088
-3.616 1.907 0.169
Ni Fe Cl
1 3 1
Direct
0.500 0.500 0.500
0.000 0.500 0.000
0.000 0.000 0.500
0.500 0.000 0.000
0.000 0.000 0.000
```



Material: FeNi2Cl
Method: DFT, PBE
State: relaxed

Energy   -5.1875 eV per atom
Energy above the most stable polymorph in this dataset   174 meV per atom
Space-group type   C2/m, No. 12
V   70 Å³/cell
E_form (uncorrected)   1.12 eV per formula unit

Structure (POSCAR):
```
FeNi2Cl
1.0
-0.530 -0.389 -4.003
2.113 -1.321 -3.200
-2.955 -5.138 3.773
Ni Fe Cl
2 1 1
Direct
0.100 0.100 0.908
0.400 0.400 0.592
0.750 0.750 0.750
0.250 0.250 0.250
```



Material: FeNiCl2
Method: DFT, PBE
State: relaxed

Energy   -4.1581 eV per atom
Energy above the most stable polymorph in this dataset   562 meV per atom
Space-group type   Fm-3m, No. 225
V   60 Å³/cell
E_form (uncorrected)   1.30 eV per formula unit

Structure (POSCAR):
```
FeNiCl2
1.0
0.000 3.099 3.099
3.099 0.000 3.099
3.099 3.099 0.000
Ni Fe Cl
1 1 2
Direct
0.500 0.500 0.500
0.000 0.000 0.000
0.250 0.250 0.250
0.750 0.750 0.750
```



Material: FeNiCl2
Method: DFT, PBE
State: relaxed

Energy   -4.2877 eV per atom
Energy above the most stable polymorph in this dataset   432 meV per atom
Space-group type   Cmmm, No. 65
V   69 Å³/cell
E_form (uncorrected)   0.79 eV per formula unit

Structure (POSCAR):
```
FeNiCl2
1.0
3.436 0.018 0.000
-2.067 2.744 0.000
0.000 0.000 7.296
Ni Fe Cl
1 1 2
Direct
0.500 0.500 0.750
0.500 0.500 0.250
0.000 0.000 0.993
0.000 0.000 0.507
```



Material: Fe2NiCl8
Method: DFT, PBE
State: relaxed

Energy   -4.0896 eV per atom
Space-group type   C2/m, No. 12
V   328 Å³/cell
E_form (uncorrected)   -7.51 eV per formula unit

Structure (POSCAR):
```
Fe2NiCl8
1.0
-5.307 2.117 -1.553
-2.712 -6.822 -1.598
-3.119 -1.840 6.583
Fe Ni Cl
2 1 8
Direct
0.638 0.814 0.814
0.362 0.186 0.186
0.000 0.000 0.000
0.216 0.268 0.911
0.784 0.089 0.732
0.257 0.826 0.826
0.743 0.174 0.174
0.216 0.911 0.268
0.784 0.732 0.089
0.737 0.632 0.632
0.263 0.368 0.368
```



Material: FeNi2Cl
Method: DFT, PBE
State: relaxed

Energy   -5.3619 eV per atom
Energy above the most stable polymorph in this dataset   0 meV per atom
Space-group type   P2/m, No. 10
V   57 Å³/cell
E_form (uncorrected)   0.42 eV per formula unit

Structure (POSCAR):
```
FeNi2Cl
1.0
2.968 0.000 0.000
0.000 3.046 -0.051
0.000 0.087 6.332
Ni Fe Cl
2 1 1
Direct
0.000 0.251 0.948
0.000 0.249 0.552
0.500 0.750 0.750
0.500 0.250 0.250
```



Material: FeNi2Cl
Method: DFT, PBE
State: relaxed

Energy   -5.2445 eV per atom
Energy above the most stable polymorph in this dataset   117 meV per atom
Space-group type   Cm, No. 8
V   67 Å³/cell
E_form (uncorrected)   0.89 eV per formula unit

Structure (POSCAR):
```
FeNi2Cl
1.0
4.100 -0.047 -0.216
3.145 2.631 -0.216
0.691 0.246 6.058
Ni Fe Cl
2 1 1
Direct
0.057 0.057 0.996
0.330 0.330 0.155
0.785 0.785 0.827
0.328 0.328 0.522
```



What did the third record say?
Material: FeNi2Cl
Method: DFT, PBE
State: relaxed

Energy   -5.1875 eV per atom
Energy above the most stable polymorph in this dataset   174 meV per atom
Space-group type   C2/m, No. 12
V   70 Å³/cell
E_form (uncorrected)   1.12 eV per formula unit

Structure (POSCAR):
```
FeNi2Cl
1.0
-0.530 -0.389 -4.003
2.113 -1.321 -3.200
-2.955 -5.138 3.773
Ni Fe Cl
2 1 1
Direct
0.100 0.100 0.908
0.400 0.400 0.592
0.750 0.750 0.750
0.250 0.250 0.250
```